i) {"formula": "PaAuN", "functional": "PBE", "state": "relaxed", "dos_at_fermi_per_ev_fu": 3.098, "lattice_angstrom": [[-3.1136, 0.2623, -2.3029], [0.3848, -3.7446, -0.9467], [-4.2556, -1.8394, 5.5445]], "species": ["Pa", "Pa", "N", "N", "Au", "Au"], "frac_coords": [[0.2500, 0.7500, 0.3358], [0.7500, 0.2500, 0.6642], [0.7500, 0.7500, 0.5000], [0.2500, 0.2500, 0.5000], [0.7500, 0.2500, 0.1010], [0.2500, 0.7500, 0.8990]]}

ii) {"formula": "PaAuN", "functional": "PBE", "state": "relaxed", "dos_at_fermi_per_ev_fu": 2.740, "lattice_angstrom": [[3.6539, 0.0194, 0.0000], [-0.0194, 3.6539, 0.0000], [0.0000, 0.0000, 7.9791]], "species": ["Pa", "Pa", "Au", "Au", "N", "N"], "frac_coords": [[0.3364, 0.8364, 0.8358], [0.8364, 0.3364, 0.1642], [0.8367, 0.8367, 0.5000], [0.3367, 0.3367, 0.5000], [0.8363, 0.3363, 0.8969], [0.3363, 0.8363, 0.1031]]}

Order from most stable to least stable according to the calculation: i), ii)

i) {"formula": "PaAuN", "functional": "PBE", "state": "relaxed", "dos_at_fermi_per_ev_fu": 2.430, "lattice_angstrom": [[3.2441, 0.0000, 0.0000], [0.0000, 3.2441, 0.0000], [-1.6220, -1.6220, 5.4006]], "species": ["N", "Pa", "Au"], "frac_coords": [[0.2648, 0.2648, 0.5297], [0.7240, 0.7240, 0.4481], [0.0111, 0.0111, 0.0223]]}

ii) {"formula": "PaAuN", "functional": "PBE", "state": "relaxed", "dos_at_fermi_per_ev_fu": 2.352, "lattice_angstrom": [[4.6309, 0.0000, 0.0000], [0.0000, 3.8263, 0.0000], [0.0000, -1.9131, 3.3136]], "species": ["Pa", "Au", "N"], "frac_coords": [[0.1666, 0.6667, 0.3333], [0.6666, 0.3333, 0.6667], [0.1667, 0.0000, 0.0000]]}

Order from most stable to least stable according to the calculation: ii), i)